(1)
# Dy4TlCd2 (PBE-GGA, optimized geometry)
# Energy above the lowest structure with this stoichiometry in meV/atom: 158.1
# Calculated total energy in eV per atom: -3.219
# DFT formation energy in eV per atom: 0.0101
# M_tot in μB per formula unit: 0.0
data_Dy4TlCd2
_chemical_formula_sum 'Dy12 Tl3 Cd6'
_cell_length_a 5.0428
_cell_length_b 5.0428
_cell_length_c 29.5514
_cell_angle_alpha 90.00
_cell_angle_beta 90.00
_cell_angle_gamma 120.00
_symmetry_space_group_name_H-M 'R -3 m'
_symmetry_Int_Tables_number 166
_symmetry_space_group_name_Hall '-R 3 2"'
loop_
_atom_site_label
_atom_site_type_symbol
_atom_site_fract_x
_atom_site_fract_y
_atom_site_fract_z
Dy1 Dy 0.0000 0.0000 0.1211
Dy2 Dy 0.0000 0.0000 0.2987
Tl1 Tl 0.0000 0.0000 0.5000
Cd1 Cd 0.0000 0.0000 0.4017

(2)
# DyTl2Cd (PBE-GGA, optimized geometry)
# Energy above the lowest structure with this stoichiometry in meV/atom: 115.5
# Calculated total energy in eV per atom: -2.685
# DFT formation energy in eV per atom: -0.1229
# M_tot in μB per formula unit: 0.0
data_DyTl2Cd
_chemical_formula_sum 'Dy3 Tl6 Cd3'
_cell_length_a 4.9171
_cell_length_b 4.9171
_cell_length_c 15.2662
_cell_angle_alpha 90.00
_cell_angle_beta 90.00
_cell_angle_gamma 120.00
_symmetry_space_group_name_H-M 'R -3 m'
_symmetry_Int_Tables_number 166
_symmetry_space_group_name_Hall '-R 3 2"'
loop_
_atom_site_label
_atom_site_type_symbol
_atom_site_fract_x
_atom_site_fract_y
_atom_site_fract_z
Dy1 Dy 0.0000 0.0000 0.0000
Tl1 Tl 0.0000 0.0000 0.2412
Cd1 Cd 0.0000 0.0000 0.5000

(3)
# DyTlCd2 (PBE-GGA, optimized geometry)
# Energy above the lowest structure with this stoichiometry in meV/atom: 107.4
# Calculated total energy in eV per atom: -2.345
# DFT formation energy in eV per atom: -0.1449
# M_tot in μB per formula unit: 0.1
data_DyTlCd2
_chemical_formula_sum 'Dy1 Tl1 Cd2'
_cell_length_a 3.887
_cell_length_b 3.887
_cell_length_c 6.894
_cell_angle_alpha 90.00
_cell_angle_beta 90.00
_cell_angle_gamma 90.00
_symmetry_space_group_name_H-M 'P 4/m m m'
_symmetry_Int_Tables_number 123
_symmetry_space_group_name_Hall '-P 4 2'
loop_
_atom_site_label
_atom_site_type_symbol
_atom_site_fract_x
_atom_site_fract_y
_atom_site_fract_z
Dy1 Dy 0.000 0.000 0.000
Tl1 Tl 0.000 0.000 0.500
Cd1 Cd 0.500 0.500 0.246

(4)
# Dy4Tl2Cd (PBE-GGA, optimized geometry)
# Energy above the lowest structure with this stoichiometry in meV/atom: 80.9
# Calculated total energy in eV per atom: -3.568
# DFT formation energy in eV per atom: -0.1319
# M_tot in μB per formula unit: 0.0
data_Dy4Tl2Cd
_chemical_formula_sum 'Dy8 Tl4 Cd2'
_cell_length_a 7.268
_cell_length_b 6.677
_cell_length_c 9.067
_cell_angle_alpha 90.00
_cell_angle_beta 110.98
_cell_angle_gamma 90.00
_symmetry_space_group_name_H-M 'P 1 21/m 1'
_symmetry_Int_Tables_number 11
_symmetry_space_group_name_Hall '-P 2yb'
loop_
_atom_site_label
_atom_site_type_symbol
_atom_site_fract_x
_atom_site_fract_y
_atom_site_fract_z
Dy1 Dy 0.074 0.250 0.047
Dy2 Dy 0.166 0.007 0.725
Dy3 Dy 0.315 0.750 0.345
Tl1 Tl 0.214 0.250 0.440
Tl2 Tl 0.431 0.750 0.043
Cd1 Cd 0.497 0.250 0.285

(5)
# DyTlCd (PBE-GGA, optimized geometry)
# Calculated total energy in eV per atom: -2.811
# DFT formation energy in eV per atom: -0.1828
# M_tot in μB per formula unit: 0.2
data_DyTlCd
_chemical_formula_sum 'Dy2 Tl2 Cd2'
_cell_length_a 3.629
_cell_length_b 3.629
_cell_length_c 11.936
_cell_angle_alpha 90.00
_cell_angle_beta 90.00
_cell_angle_gamma 90.00
_symmetry_space_group_name_H-M 'I 4 m m'
_symmetry_Int_Tables_number 107
_symmetry_space_group_name_Hall 'I 4 -2'
loop_
_atom_site_label
_atom_site_type_symbol
_atom_site_fract_x
_atom_site_fract_y
_atom_site_fract_z
Dy1 Dy 0.000 0.000 0.000
Tl1 Tl 0.000 0.000 0.676
Cd1 Cd 0.000 0.000 0.334

(6)
# Dy8TlCd2 (PBE-GGA, optimized geometry)
# Calculated total energy in eV per atom: -3.904
# DFT formation energy in eV per atom: -0.1755
# M_tot in μB per formula unit: 0.0
data_Dy8TlCd2
_chemical_formula_sum 'Dy16 Tl2 Cd4'
_cell_length_a 16.314
_cell_length_b 5.313
_cell_length_c 8.542
_cell_angle_alpha 90.00
_cell_angle_beta 120.95
_cell_angle_gamma 90.00
_symmetry_space_group_name_H-M 'C 1 2/m 1'
_symmetry_Int_Tables_number 12
_symmetry_space_group_name_Hall '-C 2y'
loop_
_atom_site_label
_atom_site_type_symbol
_atom_site_fract_x
_atom_site_fract_y
_atom_site_fract_z
Dy1 Dy 0.068 0.000 0.219
Dy2 Dy 0.093 0.500 0.955
Dy3 Dy 0.140 0.000 0.687
Dy4 Dy 0.182 0.500 0.450
Tl1 Tl 0.000 0.500 0.500
Cd1 Cd 0.225 0.000 0.114

(7)
# Dy2Tl2Cd (PBE-GGA, optimized geometry)
# Energy above the lowest structure with this stoichiometry in meV/atom: 0.0
# Calculated total energy in eV per atom: -3.241
# DFT formation energy in eV per atom: -0.2711
# M_tot in μB per formula unit: 0.0
data_Dy2Tl2Cd
_chemical_formula_sum 'Dy8 Tl8 Cd4'
_cell_length_a 7.854
_cell_length_b 7.854
_cell_length_c 8.851
_cell_angle_alpha 90.00
_cell_angle_beta 90.00
_cell_angle_gamma 90.00
_symmetry_space_group_name_H-M 'P 4/m n c'
_symmetry_Int_Tables_number 128
_symmetry_space_group_name_Hall '-P 4 2n'
loop_
_atom_site_label
_atom_site_type_symbol
_atom_site_fract_x
_atom_site_fract_y
_atom_site_fract_z
Dy1 Dy 0.164 0.332 0.000
Tl1 Tl 0.137 0.637 0.250
Cd1 Cd 0.000 0.000 0.299

(8)
# Dy6TlCd3 (PBE-GGA, optimized geometry)
# Calculated total energy in eV per atom: -3.499
# DFT formation energy in eV per atom: -0.2265
# M_tot in μB per formula unit: 0.0
data_Dy6TlCd3
_chemical_formula_sum 'Dy12 Tl2 Cd6'
_cell_length_a 9.354
_cell_length_b 5.287
_cell_length_c 11.631
_cell_angle_alpha 90.00
_cell_angle_beta 107.09
_cell_angle_gamma 90.00
_symmetry_space_group_name_H-M 'P 1 21/m 1'
_symmetry_Int_Tables_number 11
_symmetry_space_group_name_Hall '-P 2yb'
loop_
_atom_site_label
_atom_site_type_symbol
_atom_site_fract_x
_atom_site_fract_y
_atom_site_fract_z
Dy1 Dy 0.039 0.250 0.411
Dy2 Dy 0.153 0.750 0.176
Dy3 Dy 0.247 0.250 0.999
Dy4 Dy 0.334 0.750 0.804
Dy5 Dy 0.369 0.250 0.334
Dy6 Dy 0.397 0.250 0.618
Tl1 Tl 0.453 0.750 0.105
Cd1 Cd 0.027 0.750 0.877
Cd2 Cd 0.114 0.250 0.714
Cd3 Cd 0.274 0.750 0.472

(9)
# DyTm2Tl2Cd2 (PBE-GGA, optimized geometry)
# Calculated total energy in eV per atom: -2.987
# DFT formation energy in eV per atom: -0.1142
# M_tot in μB per formula unit: 0.0
data_DyTm2Tl2Cd2
_chemical_formula_sum 'Dy3 Tm6 Tl6 Cd6'
_cell_length_a 5.0095
_cell_length_b 5.0095
_cell_length_c 25.6715
_cell_angle_alpha 90.00
_cell_angle_beta 90.00
_cell_angle_gamma 120.00
_symmetry_space_group_name_H-M 'R -3 m'
_symmetry_Int_Tables_number 166
_symmetry_space_group_name_Hall '-R 3 2"'
loop_
_atom_site_label
_atom_site_type_symbol
_atom_site_fract_x
_atom_site_fract_y
_atom_site_fract_z
Dy1 Dy 0.0000 0.0000 0.0000
Tm1 Tm 0.0000 0.0000 0.1341
Tl1 Tl 0.0000 0.0000 0.2699
Cd1 Cd 0.0000 0.0000 0.4325

(10)
# DyTmTlCd (PBE-GGA, optimized geometry)
# Calculated total energy in eV per atom: -3.410
# DFT formation energy in eV per atom: -0.3216
# M_tot in μB per formula unit: 0.0
data_DyTmTlCd
_chemical_formula_sum 'Dy4 Tm4 Tl4 Cd4'
_cell_length_a 7.491
_cell_length_b 7.491
_cell_length_c 7.491
_cell_angle_alpha 90.00
_cell_angle_beta 90.00
_cell_angle_gamma 90.00
_symmetry_space_group_name_H-M 'F -4 3 m'
_symmetry_Int_Tables_number 216
_symmetry_space_group_name_Hall 'F -4 2 3'
loop_
_atom_site_label
_atom_site_type_symbol
_atom_site_fract_x
_atom_site_fract_y
_atom_site_fract_z
Dy1 Dy 0.000 0.000 0.000
Tm1 Tm 0.000 0.000 0.500
Tl1 Tl 0.250 0.250 0.750
Cd1 Cd 0.250 0.250 0.250

(11)
# Dy2YTl2Cd2 (PBE-GGA, optimized geometry)
# Calculated total energy in eV per atom: -3.309
# DFT formation energy in eV per atom: -0.1334
# M_tot in μB per formula unit: 0.0
data_Dy2YTl2Cd2
_chemical_formula_sum 'Dy6 Y3 Tl6 Cd6'
_cell_length_a 5.0053
_cell_length_b 5.0053
_cell_length_c 26.1496
_cell_angle_alpha 90.00
_cell_angle_beta 90.00
_cell_angle_gamma 120.00
_symmetry_space_group_name_H-M 'R -3 m'
_symmetry_Int_Tables_number 166
_symmetry_space_group_name_Hall '-R 3 2"'
loop_
_atom_site_label
_atom_site_type_symbol
_atom_site_fract_x
_atom_site_fract_y
_atom_site_fract_z
Dy1 Dy 0.0000 0.0000 0.1329
Y1 Y 0.0000 0.0000 0.0000
Tl1 Tl 0.0000 0.0000 0.2702
Cd1 Cd 0.0000 0.0000 0.4276

(12)
# DyY2Tl2Cd2 (PBE-GGA, optimized geometry)
# Calculated total energy in eV per atom: -3.577
# DFT formation energy in eV per atom: -0.1350
# M_tot in μB per formula unit: 0.0
data_DyY2Tl2Cd2
_chemical_formula_sum 'Dy3 Y6 Tl6 Cd6'
_cell_length_a 5.0063
_cell_length_b 5.0063
_cell_length_c 26.2539
_cell_angle_alpha 90.00
_cell_angle_beta 90.00
_cell_angle_gamma 120.00
_symmetry_space_group_name_H-M 'R -3 m'
_symmetry_Int_Tables_number 166
_symmetry_space_group_name_Hall '-R 3 2"'
loop_
_atom_site_label
_atom_site_type_symbol
_atom_site_fract_x
_atom_site_fract_y
_atom_site_fract_z
Dy1 Dy 0.0000 0.0000 0.0000
Y1 Y 0.0000 0.0000 0.1318
Tl1 Tl 0.0000 0.0000 0.2706
Cd1 Cd 0.0000 0.0000 0.4243

(13)
# DyZrTlCd (PBE-GGA, optimized geometry)
# Calculated total energy in eV per atom: -4.259
# DFT formation energy in eV per atom: -0.1512
# M_tot in μB per formula unit: 0.0
data_DyZrTlCd
_chemical_formula_sum 'Dy4 Zr4 Tl4 Cd4'
_cell_length_a 7.298
_cell_length_b 7.298
_cell_length_c 7.298
_cell_angle_alpha 90.00
_cell_angle_beta 90.00
_cell_angle_gamma 90.00
_symmetry_space_group_name_H-M 'F -4 3 m'
_symmetry_Int_Tables_number 216
_symmetry_space_group_name_Hall 'F -4 2 3'
loop_
_atom_site_label
_atom_site_type_symbol
_atom_site_fract_x
_atom_site_fract_y
_atom_site_fract_z
Dy1 Dy 0.000 0.000 0.000
Zr1 Zr 0.000 0.000 0.500
Tl1 Tl 0.250 0.250 0.250
Cd1 Cd 0.250 0.250 0.750

(14)
# Dy2Tm3Cd4 (PBE-GGA, optimized geometry)
# Calculated total energy in eV per atom: -3.063
# DFT formation energy in eV per atom: -0.1436
# M_tot in μB per formula unit: 0.0
data_Dy2Tm3Cd4
_chemical_formula_sum 'Dy8 Tm12 Cd16'
_cell_length_a 6.683
_cell_length_b 18.431
_cell_length_c 8.019
_cell_angle_alpha 90.00
_cell_angle_beta 90.00
_cell_angle_gamma 90.00
_symmetry_space_group_name_H-M 'C m c e'
_symmetry_Int_Tables_number 64
_symmetry_space_group_name_Hall '-C 2ac 2'
loop_
_atom_site_label
_atom_site_type_symbol
_atom_site_fract_x
_atom_site_fract_y
_atom_site_fract_z
Dy1 Dy 0.000 0.092 0.101
Tm1 Tm 0.000 0.000 0.500
Tm2 Tm 0.250 0.245 0.750
Cd1 Cd 0.000 0.161 0.481
Cd2 Cd 0.250 0.075 0.750

(15)
# Dy5TmCd6 (PBE-GGA, optimized geometry)
# Calculated total energy in eV per atom: -3.066
# DFT formation energy in eV per atom: -0.3178
# M_tot in μB per formula unit: 0.0
data_Dy5TmCd6
_chemical_formula_sum 'Dy10 Tm2 Cd12'
_cell_length_a 5.270
_cell_length_b 15.845
_cell_length_c 7.491
_cell_angle_alpha 90.00
_cell_angle_beta 90.00
_cell_angle_gamma 90.00
_symmetry_space_group_name_H-M 'C m m m'
_symmetry_Int_Tables_number 65
_symmetry_space_group_name_Hall '-C 2 2'
loop_
_atom_site_label
_atom_site_type_symbol
_atom_site_fract_x
_atom_site_fract_y
_atom_site_fract_z
Dy1 Dy 0.000 0.000 0.000
Dy2 Dy 0.000 0.332 0.000
Dy3 Dy 0.000 0.334 0.500
Tm1 Tm 0.000 0.000 0.500
Cd1 Cd 0.000 0.166 0.252
Cd2 Cd 0.000 0.500 0.251

(16)
# DyTm6Cd2 (PBE-GGA, optimized geometry)
# Calculated total energy in eV per atom: -3.818
# DFT formation energy in eV per atom: -0.1220
# M_tot in μB per formula unit: 0.0
data_DyTm6Cd2
_chemical_formula_sum 'Dy2 Tm12 Cd4'
_cell_length_a 12.461
_cell_length_b 3.678
_cell_length_c 11.727
_cell_angle_alpha 90.00
_cell_angle_beta 108.65
_cell_angle_gamma 90.00
_symmetry_space_group_name_H-M 'C 1 2/m 1'
_symmetry_Int_Tables_number 12
_symmetry_space_group_name_Hall '-C 2y'
loop_
_atom_site_label
_atom_site_type_symbol
_atom_site_fract_x
_atom_site_fract_y
_atom_site_fract_z
Dy1 Dy 0.000 0.000 0.000
Tm1 Tm 0.014 0.000 0.341
Tm2 Tm 0.184 0.500 0.877
Tm3 Tm 0.187 0.500 0.582
Cd1 Cd 0.148 0.500 0.211

(17)
# Dy6TmCd (PBE-GGA, optimized geometry)
# Calculated total energy in eV per atom: -4.073
# DFT formation energy in eV per atom: 0.0520
# M_tot in μB per formula unit: 0.0
data_Dy6TmCd
_chemical_formula_sum 'Dy18 Tm3 Cd3'
_cell_length_a 9.1952
_cell_length_b 9.1952
_cell_length_c 10.0230
_cell_angle_alpha 90.00
_cell_angle_beta 90.00
_cell_angle_gamma 120.00
_symmetry_space_group_name_H-M 'R -3'
_symmetry_Int_Tables_number 148
_symmetry_space_group_name_Hall '-R 3'
loop_
_atom_site_label
_atom_site_type_symbol
_atom_site_fract_x
_atom_site_fract_y
_atom_site_fract_z
Dy1 Dy 0.0246 0.2571 0.2177
Tm1 Tm 0.0000 0.0000 0.5000
Cd1 Cd 0.0000 0.0000 0.0000

(18)
# DyTmCd (PBE-GGA, optimized geometry)
# Energy above the lowest structure with this stoichiometry in meV/atom: 115.2
# Calculated total energy in eV per atom: -3.403
# DFT formation energy in eV per atom: -0.0738
# M_tot in μB per formula unit: 0.0
data_DyTmCd
_chemical_formula_sum 'Dy1 Tm1 Cd1'
_cell_length_a 5.2233
_cell_length_b 5.2233
_cell_length_c 3.5186
_cell_angle_alpha 90.00
_cell_angle_beta 90.00
_cell_angle_gamma 120.00
_symmetry_space_group_name_H-M 'P 3 m 1'
_symmetry_Int_Tables_number 156
_symmetry_space_group_name_Hall 'P 3 -2"'
loop_
_atom_site_label
_atom_site_type_symbol
_atom_site_fract_x
_atom_site_fract_y
_atom_site_fract_z
Dy1 Dy 0.0000 0.0000 0.0000
Tm1 Tm 0.3333 0.6667 0.4462
Cd1 Cd 0.6667 0.3333 0.6920

(19)
# Dy3Tm7Cd (PBE-GGA, optimized geometry)
# Calculated total energy in eV per atom: -4.015
# DFT formation energy in eV per atom: 0.1686
# M_tot in μB per formula unit: 0.0
data_Dy3Tm7Cd
_chemical_formula_sum 'Dy3 Tm7 Cd1'
_cell_length_a 6.8665
_cell_length_b 6.8665
_cell_length_c 8.4360
_cell_angle_alpha 90.00
_cell_angle_beta 90.00
_cell_angle_gamma 120.00
_symmetry_space_group_name_H-M 'P 3 m 1'
_symmetry_Int_Tables_number 156
_symmetry_space_group_name_Hall 'P 3 -2"'
loop_
_atom_site_label
_atom_site_type_symbol
_atom_site_fract_x
_atom_site_fract_y
_atom_site_fract_z
Dy1 Dy 0.1683 0.3365 0.0000
Tm1 Tm 0.0060 0.5030 0.3398
Tm2 Tm 0.3320 0.1660 0.6632
Tm3 Tm 0.3333 0.6667 0.6707
Cd1 Cd 0.0000 0.0000 0.3416

(20)
# Dy3Tm2Cd2 (PBE-GGA, optimized geometry)
# Energy above the lowest structure with this stoichiometry in meV/atom: 0.0
# Calculated total energy in eV per atom: -3.661
# DFT formation energy in eV per atom: -0.1499
# M_tot in μB per formula unit: 0.0
data_Dy3Tm2Cd2
_chemical_formula_sum 'Dy9 Tm6 Cd6'
_cell_length_a 5.3387
_cell_length_b 5.3387
_cell_length_c 23.6729
_cell_angle_alpha 90.00
_cell_angle_beta 90.00
_cell_angle_gamma 120.00
_symmetry_space_group_name_H-M 'R -3 m'
_symmetry_Int_Tables_number 166
_symmetry_space_group_name_Hall '-R 3 2"'
loop_
_atom_site_label
_atom_site_type_symbol
_atom_site_fract_x
_atom_site_fract_y
_atom_site_fract_z
Dy1 Dy 0.0000 0.0000 0.0000
Dy2 Dy 0.0000 0.0000 0.1566
Tm1 Tm 0.0000 0.0000 0.4262
Cd1 Cd 0.0000 0.0000 0.2886